{
  "formula": "BaErZnTe3",
  "functional": "PBE",
  "state": "relaxed",
  "total_magnetization_mub_per_atom": 0.003,
  "volume_a3_per_atom": 32.66,
  "final_energy_ev_per_atom": -3.967,
  "lattice_angstrom": [[-6.3753, 1.5383, 4.1918], [2.7353, -1.7141, -7.0825], [-1.2178, -11.0585, 2.2060]],
  "species": ["Ba", "Ba", "Er", "Er", "Te", "Te", "Te", "Te", "Te", "Te", "Zn", "Zn"],
  "frac_coords": [[0.2582, 0.7418, 0.2500], [0.7418, 0.2582, 0.7500], [0.5000, 0.5000, 0.0000], [0.5000, 0.5000, 0.5000], [0.8662, 0.1338, 0.0596], [0.5764, 0.4236, 0.2500], [0.8662, 0.1338, 0.4404], [0.1338, 0.8662, 0.5596], [0.4236, 0.5764, 0.7500], [0.1338, 0.8662, 0.9404], [0.9808, 0.0192, 0.2500], [0.0192, 0.9808, 0.7500]]
}



{
  "formula": "BaZnO3",
  "functional": "PBE",
  "state": "relaxed",
  "volume_a3_per_atom": 13.16,
  "final_energy_ev_per_atom": -5.015,
  "lattice_angstrom": [[-2.1217, 0.3400, -5.2873], [2.6830, -2.5909, -4.3199], [-2.3189, -4.6077, -2.4423]],
  "species": ["Ba", "Ba", "O", "O", "O", "O", "O", "O", "Zn", "Zn"],
  "frac_coords": [[0.2500, 0.2500, 0.2500], [0.7500, 0.7500, 0.7500], [0.2503, 0.7500, 0.2497], [0.7503, 0.7497, 0.2500], [0.7500, 0.2497, 0.2503], [0.2500, 0.7503, 0.7497], [0.2497, 0.2503, 0.7500], [0.7497, 0.2500, 0.7503], [0.0000, 0.0000, 0.0000], [0.5000, 0.5000, 0.5000]]
}



{
  "formula": "LiFeAgPb",
  "functional": "PBE",
  "state": "relaxed",
  "total_magnetization_mub_per_atom": 0.666,
  "de_polymorph_mev_per_atom": 0.0,
  "volume_a3_per_atom": 17.29,
  "lattice_angstrom": [[0.0000, 3.2576, 3.2576], [3.2576, 0.0000, 3.2576], [3.2576, 3.2576, 0.0000]],
  "species": ["Ag", "Fe", "Li", "Pb"],
  "frac_coords": [[0.5000, 0.5000, 0.5000], [0.7500, 0.7500, 0.7500], [0.2500, 0.2500, 0.2500], [0.0000, 0.0000, 0.0000]]
}



{
  "formula": "NaHoHgTe3",
  "functional": "PBE",
  "state": "relaxed",
  "total_magnetization_mub_per_atom": 0.001,
  "de_polymorph_mev_per_atom": 0.5,
  "volume_a3_per_atom": 32.04,
  "lattice_angstrom": [[4.3791, 0.0000, 0.0000], [0.0000, 11.7037, 0.0000], [0.0000, 0.0000, 15.0023]],
  "species": ["Hg", "Hg", "Hg", "Hg", "Ho", "Ho", "Ho", "Ho", "Na", "Na", "Na", "Na", "Te", "Te", "Te", "Te", "Te", "Te", "Te", "Te", "Te", "Te", "Te", "Te"],
  "frac_coords": [[0.2500, 0.2417, 0.2163], [0.2500, 0.7417, 0.2837], [0.7500, 0.2583, 0.7163], [0.7500, 0.7583, 0.7837], [0.7500, 0.4883, 0.2467], [0.7500, 0.9883, 0.2533], [0.2500, 0.0117, 0.7467], [0.2500, 0.5117, 0.7533], [0.7500, 0.2317, 0.0181], [0.7500, 0.7317, 0.4819], [0.2500, 0.2683, 0.5181], [0.2500, 0.7683, 0.9819], [0.2500, 0.4359, 0.1061], [0.2500, 0.0406, 0.1127], [0.7500, 0.7392, 0.1585], [0.7500, 0.2391, 0.3415], [0.2500, 0.5406, 0.3873], [0.2500, 0.9359, 0.3939], [0.7500, 0.0641, 0.6061], [0.7500, 0.4594, 0.6127], [0.2500, 0.7608, 0.6585], [0.2500, 0.2609, 0.8415], [0.7500, 0.9594, 0.8873], [0.7500, 0.5641, 0.8939]]
}



{
  "formula": "Y2In2Ir3Pd",
  "functional": "PBE",
  "state": "relaxed",
  "total_magnetization_mub_per_atom": 0.001,
  "volume_a3_per_atom": 20.15,
  "final_energy_ev_per_atom": -6.799,
  "lattice_angstrom": [[-0.5765, -3.3984, 3.0061], [4.0850, 0.6622, -1.9473], [2.2723, 5.4792, 6.6302]],
  "species": ["In", "In", "Ir", "Ir", "Ir", "Pd", "Y", "Y"],
  "frac_coords": [[0.3333, 0.6667, 0.0052], [0.3333, 0.6667, 0.5024], [0.6667, 0.3333, 0.0985], [0.6667, 0.3333, 0.4015], [0.0000, 0.0000, 0.5857], [0.0000, 0.0000, 0.9102], [0.0000, 0.0000, 0.2524], [0.6667, 0.3333, 0.7440]]
}



{
  "formula": "GdZnInNi",
  "functional": "PBE",
  "state": "relaxed",
  "total_magnetization_mub_per_atom": 0.000,
  "de_polymorph_mev_per_atom": 7.7,
  "volume_a3_per_atom": 19.28,
  "lattice_angstrom": [[7.5128, 0.0000, 0.0000], [0.0000, 2.1113, 4.8626], [0.0000, -2.1113, 4.8626]],
  "species": ["Gd", "Gd", "In", "In", "Ni", "Ni", "Zn", "Zn"],
  "frac_coords": [[0.5000, 0.4333, 0.4333], [0.0000, 0.5626, 0.5626], [0.2972, 0.1449, 0.1449], [0.7028, 0.1449, 0.1449], [0.0000, 0.2869, 0.2869], [0.5000, 0.7262, 0.7262], [0.1902, 0.8506, 0.8506], [0.8098, 0.8506, 0.8506]]
}



{
  "formula": "DyHgNO",
  "functional": "PBE",
  "state": "relaxed",
  "total_magnetization_mub_per_atom": 0.000,
  "de_polymorph_mev_per_atom": 55.8,
  "volume_a3_per_atom": 17.24,
  "lattice_angstrom": [[0.8317, 3.2377, 2.1895], [2.3489, -3.2896, 3.9722], [5.3941, 0.4945, -2.7802]],
  "species": ["Dy", "Dy", "Hg", "Hg", "N", "N", "O", "O"],
  "frac_coords": [[0.0000, 0.4879, 0.2996], [0.0000, 0.9879, 0.7004], [0.5000, 0.9662, 0.2280], [0.5000, 0.4662, 0.7720], [0.0000, 0.8901, 0.3419], [0.0000, 0.3901, 0.6581], [0.5000, 0.4097, 0.1755], [0.5000, 0.9097, 0.8245]]
}



{
  "formula": "ZrTlSeS",
  "functional": "PBE",
  "state": "relaxed",
  "total_magnetization_mub_per_atom": 0.003,
  "volume_a3_per_atom": 24.96,
  "final_energy_ev_per_atom": -5.739,
  "lattice_angstrom": [[3.7105, 0.0000, 0.0000], [-1.8553, 3.2134, 0.0000], [0.0000, 0.0000, 8.3726]],
  "species": ["S", "Se", "Tl", "Zr"],
  "frac_coords": [[0.3333, 0.6667, 0.3137], [0.6667, 0.3333, 0.6920], [0.0000, 0.0000, 0.0035], [0.0000, 0.0000, 0.4908]]
}